Record 1
La2TbPmDy | GGA-PBE | relaxed

Properties
Fermi-level density of states = 1.271 states/eV per atom
V = 34.9 A^3/atom
Density = 7.1 g/cm3
Space group = Pmma (51)
E_form = 1.13 eV per formula unit

Geometry as POSCAR:
```
La2TbPmDy
1.0
6.493 0.000 0.000
0.000 7.918 0.000
0.000 0.000 6.790
La Tb Pm Dy
4 2 2 2
direct
0.250 0.202 0.207
0.250 0.798 0.207
0.750 0.202 0.793
0.750 0.798 0.793
0.250 0.000 0.679
0.750 0.000 0.321
0.250 0.500 0.911
0.750 0.500 0.089
0.000 0.500 0.500
0.500 0.500 0.500
```


Record 2
LaTbPmDy2 | GGA-PBE | relaxed

Properties
Fermi-level density of states = 1.623 states/eV per atom
V = 35.5 A^3/atom
Density = 7.2 g/cm3
Space group = Cmcm (63)
E_form = 1.78 eV per formula unit

Geometry as POSCAR:
```
LaTbPmDy2
1.0
4.239 -5.802 0.000
4.239 5.802 0.000
0.000 0.000 7.225
La Tb Pm Dy
2 2 2 4
direct
0.234 0.766 0.750
0.766 0.234 0.250
0.220 0.780 0.250
0.780 0.220 0.750
0.498 0.502 0.750
0.502 0.498 0.250
0.188 0.188 0.000
0.188 0.188 0.500
0.812 0.812 0.000
0.812 0.812 0.500
```


Record 3
La2Tb2Pm2Dy | GGA-PBE | relaxed

Properties
Fermi-level density of states = 1.624 states/eV per atom
V = 34.1 A^3/atom
Density = 7.3 g/cm3
Space group = C2/m (12)
E_form = 0.17 eV per formula unit

Geometry as POSCAR:
```
La2Tb2Pm2Dy
1.0
5.747 -2.577 0.000
5.747 2.577 0.000
-1.161 0.000 8.070
La Tb Pm Dy
2 2 2 1
direct
0.142 0.142 0.425
0.858 0.858 0.575
0.430 0.430 0.283
0.570 0.570 0.717
0.285 0.285 0.860
0.715 0.715 0.140
0.000 0.000 0.000
```


Record 4
LaTbPmDy | GGA-PBE | relaxed

Properties
Fermi-level density of states = 1.888 states/eV per atom
V = 33.8 A^3/atom
Density = 7.4 g/cm3
Excess energy over the best structure of this formula in the dataset = 61.6 meV/atom
Space group = Pm (6)
E_form = 0.69 eV per formula unit

Geometry as POSCAR:
```
LaTbPmDy
1.0
5.715 0.000 0.000
0.000 3.450 0.000
-0.002 0.000 6.852
La Tb Pm Dy
1 1 1 1
direct
0.000 0.000 0.000
0.499 0.500 0.252
0.999 0.000 0.486
0.499 0.000 0.740
```